The following is a DFT calculation (GGA-PBE) of LiNi12B5 after structural relaxation.

Results
Magnetization: 0.000 μB per formula unit
Raw total energy: -6.045 eV per atom
E_form: -0.23 eV/atom

Lattice parameters (Å, degrees): 6.0159 6.0159 6.0159 112.80 112.41 103.37
Last column: nearest neighbours and their distance in Å.
Fractional positions:
Li  0.0000  0.0000  0.0000  12 Ni 2.38-2.56
Ni  0.0848  0.2719  0.8129  2 B 2.02-2.11
Ni  0.1777  0.4859  0.3083  3 B 1.98-2.09
Ni  0.1777  0.8694  0.6917  3 B 1.98-2.09
Ni  0.3164  0.2170  0.5334  4 B 2.09-2.25
Ni  0.3164  0.7830  0.0994  4 B 2.09-2.25
Ni  0.4590  0.2719  0.1871  2 B 2.02-2.11
Ni  0.5410  0.7281  0.8129  2 B 2.02-2.11
Ni  0.6836  0.2170  0.9006  4 B 2.09-2.25
Ni  0.6836  0.7830  0.4666  4 B 2.09-2.25
Ni  0.8223  0.1306  0.3083  3 B 1.98-2.09
Ni  0.8223  0.5141  0.6917  3 B 1.98-2.09
Ni  0.9152  0.7281  0.1871  2 B 2.02-2.11
B  0.1492  0.5000  0.6492  1 B 2.00, 8 Ni 2.02-2.19
B  0.3809  0.8809  0.5000  1 B 1.78, 2 Ni 1.98
B  0.5000  0.5000  0.0000  8 Ni 2.11-2.25, 2 B 2.35
B  0.6191  0.1191  0.5000  1 B 1.78, 2 Ni 1.98
B  0.8508  0.5000  0.3508  1 B 2.00, 8 Ni 2.02-2.19